(1)
VASP calculation (PBEsol) on a relaxed structure of NdIO.

Unit cell a=4.0348 b=4.0348 c=9.2894 alpha=90.00 beta=90.00 gamma=90.00
Atoms (fractional coordinates):
1 I 0.0000 0.5000 0.6738
2 I 0.5000 0.0000 0.3262
3 Nd 0.0000 0.5000 0.1250
4 Nd 0.5000 0.0000 0.8750
5 O 0.0000 0.0000 0.0000
6 O 0.5000 0.5000 0.0000

Summary:
Space-group type: P4/nmm (129)
E_form (uncorrected), eV/atom: -2.704
Final energy, eV per atom: -6.76
N(E_F), states/eV per cell: 0.0
Total moment, μB per formula unit: 0.0

=====

(2)
VASP calculation (PBEsol) on a relaxed structure of LiLa2Tl.

Unit cell a=4.6585 b=4.6585 c=6.0976 alpha=112.46 beta=112.46 gamma=90.00
Atoms (fractional coordinates):
1 Tl 0.2500 0.7500 0.5000
2 La 0.0000 0.0000 0.0000
3 La 0.7500 0.2500 0.5000
4 Li 0.5000 0.5000 0.0000

Summary:
Space-group type: I-4m2 (119)
ΔH_f (0 K), eV per atom: -0.1830
Final energy, eV per atom: -4.01
N(E_F), states/eV per cell: 3.5
Total moment, μB per formula unit: 0.0

=====

final energy of number 2 (LiLa2Tl)?
-4.01 eV per atom

=====

Which of these has the highest final energy?
LiLa2Tl